# FeSiN

A geometry-optimized FeSiN structure (PBE-GGA, the Alexandria database).

Cell lengths 4.3410, 2.6842, 10.7740 Å; angles 90.00, 103.59, 90.00 degrees
With the nearest neighbours (Å) after each atom.
Atoms (fractional coordinates):
1 Fe 0.6753 0.0000 0.6408  3 N 1.92-2.00
2 Fe 0.6753 0.5000 0.1408  3 N 1.92-2.00
3 Fe 0.1154 0.0000 0.4955  2 N 1.94
4 Fe 0.1154 0.5000 0.9955  2 N 1.94
5 Si 0.1121 0.0000 0.2651  2 N 1.85
6 Si 0.1121 0.5000 0.7651  2 N 1.85
7 Si 0.6970 0.0000 0.9176  2 N 1.78-1.79
8 Si 0.6970 0.5000 0.4176  2 N 1.78-1.79
9 N 0.4469 0.0000 0.0280  1 Si 1.79, 4 Fe 1.92-1.94
10 N 0.4469 0.5000 0.5280  1 Si 1.79, 4 Fe 1.92-1.94
11 N 0.4092 0.0000 0.7697  3 Si 1.78-1.85
12 N 0.4092 0.5000 0.2697  3 Si 1.78-1.85

Results
Calculated total energy: -7.5680 eV per atom
Crystal system: monoclinic
Uncorrected formation energy: -0.164 eV per atom

# FeSiN

A geometry-optimized FeSiN structure (PBE-GGA, the Alexandria database).

Cell lengths 5.7597, 2.6966, 8.9636 Å; angles 90.00, 110.71, 90.00 degrees
With the nearest neighbours (Å) after each atom.
Atoms (fractional coordinates):
1 Fe 0.2394 0.0000 0.3099  3 N 1.91-2.12
2 Fe 0.2394 0.5000 0.8099  3 N 1.91-2.12
3 Fe 0.0266 0.0000 0.5538  1 N 1.77
4 Fe 0.0266 0.5000 0.0538  1 N 1.77
5 Si 0.3406 0.0000 0.0433  1 N 1.79
6 Si 0.3406 0.5000 0.5433  1 N 1.79
7 Si 0.7636 0.0000 0.8359  3 N 1.78-1.79
8 Si 0.7636 0.5000 0.3359  3 N 1.78-1.79
9 N 0.9880 0.0000 0.7409  3 Fe 1.77-1.91, 1 Si 1.78
10 N 0.9880 0.5000 0.2409  3 Fe 1.77-1.91, 1 Si 1.78
11 N 0.5584 0.0000 0.2442  3 Si 1.79
12 N 0.5584 0.5000 0.7442  3 Si 1.79

Results
Calculated total energy: -7.6776 eV per atom
Crystal system: monoclinic
Uncorrected formation energy: -0.274 eV per atom

# FeSiN

A geometry-optimized FeSiN structure (PBE-GGA, the Alexandria database).

Cell lengths 5.7872, 2.9129, 9.2647 Å; angles 90.00, 127.43, 90.00 degrees
With the nearest neighbours (Å) after each atom.
Atoms (fractional coordinates):
1 Fe 0.7308 0.0000 0.2991  2 N 2.00, 1 Si 2.23
2 Fe 0.7308 0.5000 0.7991  2 N 2.00, 1 Si 2.23
3 Fe 0.0292 0.0000 0.7044  2 N 2.10-2.23, 2 Si 2.25
4 Fe 0.0292 0.5000 0.2044  2 N 2.10-2.23, 2 Si 2.25
5 Si 0.2078 0.0000 0.5230  3 N 1.78-1.80
6 Si 0.2078 0.5000 0.0230  3 N 1.78-1.80
7 Si 0.6774 0.0000 0.0071  2 N 1.78-1.83
8 Si 0.6774 0.5000 0.5071  2 N 1.78-1.83
9 N 0.4670 0.0000 0.7663  2 Si 1.78-1.80
10 N 0.4670 0.5000 0.2663  2 Si 1.78-1.80
11 N 0.3437 0.0000 0.9875  3 Si 1.78-1.83
12 N 0.3437 0.5000 0.4875  3 Si 1.78-1.83

Results
Calculated total energy: -7.5746 eV per atom
Crystal system: monoclinic
Uncorrected formation energy: -0.171 eV per atom

# FeSiN

A geometry-optimized FeSiN structure (PBE-GGA, the Alexandria database).

Cell lengths 6.4130, 2.8261, 8.3631 Å; angles 90.00, 103.73, 90.00 degrees
With the nearest neighbours (Å) after each atom.
Atoms (fractional coordinates):
1 Fe 0.4035 0.0000 0.0957  2 N 1.89
2 Fe 0.4035 0.5000 0.5957  2 N 1.89
3 Fe 0.2663 0.0000 0.7988  1 N 1.93
4 Fe 0.2663 0.5000 0.2988  1 N 1.93
5 Si 0.6734 0.0000 0.9445  3 N 1.74-1.78
6 Si 0.6734 0.5000 0.4445  3 N 1.74-1.78
7 Si 0.1032 0.0000 0.4586  1 N 1.74
8 Si 0.1032 0.5000 0.9586  1 N 1.74
9 N 0.8377 0.0000 0.4766  3 Si 1.74
10 N 0.8377 0.5000 0.9766  3 Si 1.74
11 N 0.5346 0.0000 0.7328  1 Si 1.78, 3 Fe 1.89-1.93
12 N 0.5346 0.5000 0.2328  1 Si 1.78, 3 Fe 1.89-1.93

Results
Calculated total energy: -7.6381 eV per atom
Crystal system: monoclinic
Uncorrected formation energy: -0.234 eV per atom

# FeSiN

A geometry-optimized FeSiN structure (PBE-GGA, the Alexandria database).

Cell lengths 2.8668, 2.8077, 16.2850 Å; angles 90.00, 90.00, 90.00 degrees
With the nearest neighbours (Å) after each atom.
Atoms (fractional coordinates):
1 Fe 0.0000 0.0000 0.1186  2 N 1.87
2 Fe 0.5000 0.5000 0.6186  2 N 1.87
3 Fe 0.0000 0.0000 0.7568  2 N 1.76
4 Fe 0.5000 0.5000 0.2568  2 N 1.76
5 Si 0.0000 0.5000 0.8690  2 N 1.76
6 Si 0.5000 0.0000 0.3690  2 N 1.76
7 Si 0.0000 0.0000 0.5384  1 N 1.73
8 Si 0.5000 0.5000 0.0384  1 N 1.73
9 N 0.0000 0.0000 0.4322  3 Si 1.73-1.76
10 N 0.5000 0.5000 0.9322  3 Si 1.73-1.76
11 N 0.0000 0.5000 0.1942  4 Fe 1.76-1.87
12 N 0.5000 0.0000 0.6942  4 Fe 1.76-1.87

Results
Calculated total energy: -7.6902 eV per atom
Crystal system: orthorhombic
Uncorrected formation energy: -0.287 eV per atom

# Fe3SiN4

A geometry-optimized Fe3SiN4 structure (PBE-GGA, the Alexandria database).

Cell lengths 4.9918, 5.8652, 6.2773 Å; angles 90.00, 90.00, 90.00 degrees
With the nearest neighbours (Å) after each atom.
Atoms (fractional coordinates):
1 Fe 0.6550 0.2997 0.7665  4 N 1.85-2.02
2 Fe 0.6550 0.2997 0.2335  4 N 1.85-2.02
3 Fe 0.3450 0.7997 0.7335  4 N 1.85-2.02
4 Fe 0.3450 0.7997 0.2665  4 N 1.85-2.02
5 Fe 0.8065 0.9880 0.5000  4 N 1.86-1.98
6 Fe 0.1935 0.4880 0.0000  4 N 1.86-1.98
7 Si 0.8656 0.9818 0.0000  4 N 1.72-1.77
8 Si 0.1344 0.4818 0.5000  4 N 1.72-1.77
9 N 0.3373 0.4552 0.7242  1 Si 1.74, 2 Fe 1.85-1.88
10 N 0.3373 0.4552 0.2758  1 Si 1.74, 2 Fe 1.85-1.88
11 N 0.6627 0.9552 0.7758  1 Si 1.74, 2 Fe 1.85-1.88
12 N 0.6627 0.9552 0.2242  1 Si 1.74, 2 Fe 1.85-1.88
13 N 0.8435 0.3245 0.5000  1 Si 1.72, 2 Fe 1.92
14 N 0.1565 0.8245 0.0000  1 Si 1.72, 2 Fe 1.92
15 N 0.0895 0.7809 0.5000  1 Si 1.77, 3 Fe 1.86-1.95
16 N 0.9105 0.2809 0.0000  1 Si 1.77, 3 Fe 1.86-1.95

Results
Calculated total energy: -8.1248 eV per atom
Crystal system: orthorhombic
Uncorrected formation energy: -0.111 eV per atom

# FeSiN

A geometry-optimized FeSiN structure (PBE-GGA, the Alexandria database).

Cell lengths 2.6580, 4.5560, 5.4176 Å; angles 106.37, 96.53, 94.88 degrees
With the nearest neighbours (Å) after each atom.
Atoms (fractional coordinates):
1 Fe 0.6820 0.3299 0.7451  3 N 1.90-2.12
2 Fe 0.7206 0.8882 0.0119  1 N 1.86
3 Si 0.0717 0.9025 0.6527  1 N 1.78
4 Si 0.2992 0.3422 0.2306  3 N 1.79-1.83
5 N 0.2369 0.5608 0.9957  1 Si 1.83, 3 Fe 1.86-2.03
6 N 0.8736 0.5204 0.4476  3 Si 1.78-1.80

Results
Calculated total energy: -7.5687 eV per atom
Crystal system: triclinic
Uncorrected formation energy: -0.165 eV per atom

# FeSiN2

A geometry-optimized FeSiN2 structure (PBE-GGA, the Alexandria database).

Cell lengths 6.0068, 5.2361, 5.9881 Å; angles 67.14, 90.00, 90.00 degrees
With the nearest neighbours (Å) after each atom.
Atoms (fractional coordinates):
1 Fe 0.8758 0.5878 0.6416  3 N 2.04-2.08
2 Fe 0.3758 0.9122 0.3584  3 N 2.04-2.08
3 Fe 0.1242 0.4122 0.3584  3 N 2.04-2.08
4 Fe 0.6242 0.0878 0.6416  3 N 2.04-2.08
5 Si 0.3627 0.4941 0.8441  4 N 1.75-1.78
6 Si 0.8627 0.0059 0.1559  4 N 1.75-1.78
7 Si 0.6373 0.5059 0.1559  4 N 1.75-1.78
8 Si 0.1373 0.9941 0.8441  4 N 1.75-1.78
9 N 0.8788 0.1615 0.8340  2 Si 1.77-1.78
10 N 0.3788 0.3385 0.1660  2 Si 1.77-1.78
11 N 0.1212 0.8385 0.1660  2 Si 1.77-1.78
12 N 0.6212 0.6615 0.8340  2 Si 1.77-1.78
13 N 0.3357 0.2527 0.7096  2 Si 1.75
14 N 0.8357 0.2473 0.2904  2 Si 1.75
15 N 0.6643 0.7473 0.2904  2 Si 1.75
16 N 0.1643 0.7527 0.7096  2 Si 1.75

Results
Calculated total energy: -7.9256 eV per atom
Crystal system: monoclinic
Uncorrected formation energy: -0.291 eV per atom

# FeSiN2

A geometry-optimized FeSiN2 structure (PBE-GGA, the Alexandria database).

Cell lengths 5.8944, 5.8944, 5.8944 Å; angles 27.55, 27.55, 27.55 degrees
With the nearest neighbours (Å) after each atom.
Atoms (fractional coordinates):
1 Si 0.5000 0.5000 0.5000  6 N 1.90
2 Fe 0.0000 0.0000 0.0000  2 N 1.85
3 N 0.8911 0.8911 0.8911  1 Fe 1.85, 3 Si 1.90
4 N 0.1089 0.1089 0.1089  1 Fe 1.85, 3 Si 1.90

Results
Calculated total energy: -7.8322 eV per atom
Crystal system: trigonal
Uncorrected formation energy: -0.198 eV per atom

# FeSiN

A geometry-optimized FeSiN structure (PBE-GGA, the Alexandria database).

Cell lengths 2.7769, 4.7844, 5.0241 Å; angles 90.00, 90.00, 90.00 degrees
With the nearest neighbours (Å) after each atom.
Atoms (fractional coordinates):
1 Fe 0.5000 0.0865 0.7660  2 N 1.98
2 Fe 0.5000 0.9135 0.2660  2 N 1.98
3 Si 0.0000 0.7012 0.6863  2 N 1.75-1.78
4 Si 0.0000 0.2988 0.1863  2 N 1.75-1.78
5 N 0.0000 0.3721 0.8394  2 Si 1.75-1.78
6 N 0.0000 0.6279 0.3394  2 Si 1.75-1.78

Results
Calculated total energy: -7.6291 eV per atom
Crystal system: orthorhombic
Uncorrected formation energy: -0.225 eV per atom

# FeSiN

A geometry-optimized FeSiN structure (PBE-GGA, the Alexandria database).

Cell lengths 2.7997, 2.7997, 25.8021 Å; angles 90.00, 90.00, 120.00 degrees
With the nearest neighbours (Å) after each atom.
Atoms (fractional coordinates):
1 Fe 0.0000 0.0000 0.5861  3 N 2.13, 3 Si 2.25
2 Fe 0.3333 0.6667 0.2528  3 N 2.13, 3 Si 2.25
3 Fe 0.6667 0.3333 0.9194  3 N 2.13, 3 Si 2.25
4 Fe 0.0000 0.0000 0.4931  3 N 1.91
5 Fe 0.3333 0.6667 0.1598  3 N 1.91
6 Fe 0.6667 0.3333 0.8265  3 N 1.91
7 Si 0.0000 0.0000 0.7535  3 N 1.89
8 Si 0.3333 0.6667 0.4202  3 N 1.89
9 Si 0.6667 0.3333 0.0868  3 N 1.89
10 Si 0.0000 0.0000 0.9799  1 N 1.78
11 Si 0.3333 0.6667 0.6466  1 N 1.78
12 Si 0.6667 0.3333 0.3133  1 N 1.78
13 N 0.0000 0.0000 0.0489  4 Si 1.78-1.89
14 N 0.3333 0.6667 0.7155  4 Si 1.78-1.89
15 N 0.6667 0.3333 0.3822  4 Si 1.78-1.89
16 N 0.0000 0.0000 0.1989  6 Fe 1.91-2.13
17 N 0.3333 0.6667 0.8656  6 Fe 1.91-2.13
18 N 0.6667 0.3333 0.5322  6 Fe 1.91-2.13

Results
Calculated total energy: -7.6733 eV per atom
Crystal system: trigonal
Uncorrected formation energy: -0.270 eV per atom

# FeSiN

A geometry-optimized FeSiN structure (PBE-GGA, the Alexandria database).

Cell lengths 6.5338, 2.8341, 9.0528 Å; angles 90.00, 127.76, 90.00 degrees
With the nearest neighbours (Å) after each atom.
Atoms (fractional coordinates):
1 Fe 0.8593 0.0000 0.5721  1 N 2.04
2 Fe 0.8593 0.5000 0.0721  1 N 2.04
3 Fe 0.0281 0.0000 0.9099  2 N 1.97
4 Fe 0.0281 0.5000 0.4099  2 N 1.97
5 Si 0.1978 0.0000 0.2676  2 N 1.75-1.79
6 Si 0.1978 0.5000 0.7676  2 N 1.75-1.79
7 Si 0.5776 0.0000 0.7310  3 N 1.79-1.80
8 Si 0.5776 0.5000 0.2310  3 N 1.79-1.80
9 N 0.5066 0.0000 0.3140  3 Si 1.79
10 N 0.5066 0.5000 0.8140  3 Si 1.79
11 N 0.2867 0.0000 0.4938  2 Si 1.75-1.80
12 N 0.2867 0.5000 0.9938  2 Si 1.75-1.80

Results
Calculated total energy: -7.6543 eV per atom
Crystal system: monoclinic
Uncorrected formation energy: -0.251 eV per atom

# Fe2SiN

A geometry-optimized Fe2SiN structure (PBE-GGA, the Alexandria database).

Cell lengths 3.8089, 3.8089, 3.8089 Å; angles 60.00, 60.00, 60.00 degrees
With the nearest neighbours (Å) after each atom.
Atoms (fractional coordinates):
1 Si 0.5000 0.5000 0.5000  8 Fe 2.33
2 Fe 0.2500 0.2500 0.2500  4 Si 2.33, 4 N 2.33
3 Fe 0.7500 0.7500 0.7500  4 Si 2.33, 4 N 2.33
4 N 0.0000 0.0000 0.0000  8 Fe 2.33

Results
Calculated total energy: -7.0170 eV per atom
Crystal system: cubic
Uncorrected formation energy: 0.651 eV per atom

# FeSiN

A geometry-optimized FeSiN structure (PBE-GGA, the Alexandria database).

Cell lengths 2.7940, 2.7940, 8.5955 Å; angles 90.00, 90.00, 120.00 degrees
With the nearest neighbours (Å) after each atom.
Atoms (fractional coordinates):
1 Fe 0.0000 0.0000 0.2436  3 N 2.10, 3 Si 2.26
2 Fe 0.0000 0.0000 0.5234  3 N 1.93
3 Si 0.6667 0.3333 0.7380  3 N 1.89
4 Si 0.3333 0.6667 0.0601  1 N 1.78
5 N 0.3333 0.6667 0.8534  4 Si 1.78-1.89
6 N 0.6667 0.3333 0.4002  6 Fe 1.93-2.10

Results
Calculated total energy: -7.6571 eV per atom
Crystal system: trigonal
Uncorrected formation energy: -0.253 eV per atom

# FeSiN

A geometry-optimized FeSiN structure (PBE-GGA, the Alexandria database).

Cell lengths 2.6708, 2.8276, 8.8272 Å; angles 90.00, 90.00, 90.00 degrees
With the nearest neighbours (Å) after each atom.
Atoms (fractional coordinates):
1 Fe 0.5000 0.0000 0.3462  2 N 1.94
2 Fe 0.5000 0.5000 0.8462  2 N 1.94
3 Si 0.0000 0.0000 0.1286  2 N 1.78
4 Si 0.0000 0.5000 0.6286  2 N 1.78
5 N 0.0000 0.0000 0.5060  2 Si 1.78, 2 Fe 1.94
6 N 0.0000 0.5000 0.0060  2 Si 1.78, 2 Fe 1.94

Results
Calculated total energy: -7.6148 eV per atom
Crystal system: orthorhombic
Uncorrected formation energy: -0.211 eV per atom

# FeSiN

A geometry-optimized FeSiN structure (PBE-GGA, the Alexandria database).

Cell lengths 4.8118, 2.7135, 4.9225 Å; angles 90.00, 91.56, 90.00 degrees
With the nearest neighbours (Å) after each atom.
Atoms (fractional coordinates):
1 Fe 0.5331 0.0000 0.7993  2 N 1.79-1.94
2 Fe 0.7428 0.5000 0.4084  2 N 1.93
3 Si 0.1182 0.0000 0.3082  2 N 1.76-1.80
4 Si 0.9240 0.5000 0.8541  2 N 1.83
5 N 0.4617 0.0000 0.4415  1 Si 1.76, 3 Fe 1.79-1.93
6 N 0.1636 0.0000 0.9470  3 Si 1.80-1.83, 1 Fe 1.94

Results
Calculated total energy: -7.6095 eV per atom
Crystal system: monoclinic
Uncorrected formation energy: -0.206 eV per atom

# FeSiN

A geometry-optimized FeSiN structure (PBE-GGA, the Alexandria database).

Cell lengths 4.5691, 2.7591, 5.1185 Å; angles 90.00, 90.00, 90.00 degrees
With the nearest neighbours (Å) after each atom.
Atoms (fractional coordinates):
1 Fe 0.7548 0.0000 0.8581  1 N 2.05
2 Fe 0.2547 0.5000 0.9606  1 N 2.05
3 Si 0.7078 0.5000 0.2673  3 N 1.79
4 Si 0.2079 0.0000 0.5514  3 N 1.79
5 N 0.8291 0.0000 0.4623  3 Si 1.79
6 N 0.3291 0.5000 0.3563  3 Si 1.79

Results
Calculated total energy: -7.7081 eV per atom
Crystal system: orthorhombic
Uncorrected formation energy: -0.304 eV per atom

# Fe2SiN

A geometry-optimized Fe2SiN structure (PBE-GGA, the Alexandria database).

Cell lengths 4.8227, 4.8227, 5.4407 Å; angles 63.69, 63.69, 90.00 degrees
With the nearest neighbours (Å) after each atom.
Atoms (fractional coordinates):
1 Si 0.0000 0.0000 0.0000  4 Fe 2.28
2 Si 0.7500 0.2500 0.5000  4 Fe 2.28
3 Fe 0.5392 0.1250 0.2500  2 N 1.79
4 Fe 0.2108 0.6250 0.2500  2 N 1.79
5 Fe 0.3750 0.4608 0.7500  2 N 1.79
6 Fe 0.8750 0.7892 0.7500  2 N 1.79
7 N 0.5000 0.5000 0.0000  4 Fe 1.79
8 N 0.2500 0.7500 0.5000  4 Fe 1.79

Results
Calculated total energy: -7.5501 eV per atom
Crystal system: tetragonal
Uncorrected formation energy: 0.118 eV per atom

# Sm2Fe2Si2N

A geometry-optimized Sm2Fe2Si2N structure (PBE-GGA, the Alexandria database).

Cell lengths 3.8932, 5.6927, 5.8023 Å; angles 73.65, 70.40, 70.00 degrees
With the nearest neighbours (Å) after each atom.
Atoms (fractional coordinates):
1 Sm 0.5602 0.1724 0.7073  2 N 2.58
2 Sm 0.4398 0.8276 0.2927  2 N 2.58
3 Fe 0.1958 0.6929 0.9156  1 N 1.79
4 Fe 0.8042 0.3071 0.0844  1 N 1.79
5 Si 0.1650 0.3880 0.2821  3 Fe 2.31-2.33
6 Si 0.8350 0.6120 0.7179  3 Fe 2.31-2.33
7 N 0.0000 0.0000 0.0000  2 Fe 1.79

Results
Calculated total energy: -7.3232 eV per atom
Crystal system: monoclinic
Uncorrected formation energy: -0.818 eV per atom

# Fe2SiTeN

A geometry-optimized Fe2SiTeN structure (PBE-GGA, the Alexandria database).

Cell lengths 4.8605, 4.0178, 4.8605 Å; angles 90.00, 90.00, 90.00 degrees
With the nearest neighbours (Å) after each atom.
Atoms (fractional coordinates):
1 Si 0.5000 0.5000 0.5000  8 Fe 3.15, 4 N 3.44
2 Te 0.0000 0.0000 0.0000  2 N 2.01
3 Fe 0.0000 0.0000 0.5000  2 Te 2.43
4 Fe 0.5000 0.0000 0.0000  2 Te 2.43
5 N 0.0000 0.5000 0.0000  2 Te 2.01

Results
Calculated total energy: -5.1067 eV per atom
Crystal system: tetragonal
Uncorrected formation energy: 1.656 eV per atom

| no. | density of states at the Fermi level (states/eV/cell) | magnetic moment (μB/f.u.) |
| --- | --- | --- |
| 1 | 5.176 | 0.06 |
| 2 | 7.418 | 0.06 |
| 3 | 6.229 | 1.20 |
| 4 | 5.112 | 1.91 |
| 5 | 3.912 | 0.00 |
| 6 | 10.661 | 2.26 |
| 7 | 3.966 | 0.00 |
| 8 | 8.959 | 3.99 |
| 9 | 2.407 | 2.86 |
| 10 | 4.015 | 1.93 |
| 11 | 7.286 | 0.50 |
| 12 | 4.057 | 1.88 |
| 13 | 2.483 | 0.00 |
| 14 | 2.303 | 0.56 |
| 15 | 4.497 | 1.79 |
| 16 | 2.902 | 0.48 |
| 17 | 2.732 | 2.64 |
| 18 | 8.718 | 0.00 |
| 19 | 4.174 | 0.00 |
| 20 | 7.418 | 5.35 |